Record 1
Below is an optimized crystal structure of BeV4B, with properties calculated at the PBE level.

Results
Crystal system = tetragonal
Energy of formation = -0.13 eV per atom

a = 5.540 Å, b = 5.540 Å, c = 8.889 Å
α = 90.00°, β = 90.00°, γ = 90.00°
Space group I4/mcm (No. 140)
Inequivalent atoms, fractional coordinates:
Be (0.000, 0.000, 0.000) [4 per cell]
V (0.168, 0.332, 0.137) [16 per cell]
B (0.000, 0.000, 0.250) [4 per cell]

=====

Record 2
Below is an optimized crystal structure of Al2PdAu3, with properties calculated at the PBE level.

Results
Distance to the lowest polymorph of the same formula = 0 meV/atom
Crystal system = monoclinic
Energy of formation = -0.40 eV per atom

a = 12.725 Å, b = 4.020 Å, c = 8.830 Å
α = 90.00°, β = 118.06°, γ = 90.00°
Space group C2/m (No. 12)
Inequivalent atoms, fractional coordinates:
Al (0.027, 0.000, 0.367) [4 per cell]
Al (0.217, 0.500, 0.368) [4 per cell]
Pd (0.127, 0.500, 0.574) [4 per cell]
Au (0.033, 0.500, 0.846) [4 per cell]
Au (0.127, 0.000, 0.142) [4 per cell]
Au (0.204, 0.000, 0.862) [4 per cell]

=====

Calculated VASP energy, -0.29183 -0.15245 hartree per atom (same order as the records).
Calculated total magnetic moment, 0.0 0.0 μB per cell (same order as the records).